13
Lattice="3.341 1.929 9.603 -3.341 1.929 9.603 0.000 -3.858 9.603" Properties=species:S:1:pos:R:3 comment="Rb4Ge2Au7, relaxed, DFT PBE-GGA" sg="No. 166" dft_energy_ev_per_atom=-3.113 pbc="T T T"
Au 0.000 0.000 0.000
Au -1.915 -1.106 16.906
Au 0.000 -2.212 11.904
Au 1.915 -1.106 16.906
Au 0.000 2.212 16.906
Au -1.915 1.106 11.904
Au 1.915 1.106 11.904
Rb 0.000 0.000 9.089
Rb 0.000 0.000 23.382
Rb 0.000 0.000 5.428
Rb 0.000 0.000 19.721
Ge 0.000 0.000 15.743
Ge 0.000 0.000 13.067